Record 1
# GeRu3W PBE-GGA relaxed
data_GeRu3W
_space_group_name_H-M_alt 'P 1'
_space_group_IT_number 1
_cell_length_a 4.453
_cell_length_b 4.453
_cell_length_c 4.453
_cell_angle_alpha 90.00
_cell_angle_beta 90.00
_cell_angle_gamma 90.00
loop_
_space_group_symop_operation_xyz
'x,y,z'
loop_
_atom_site_label
_atom_site_type_symbol
_atom_site_fract_x
_atom_site_fract_y
_atom_site_fract_z
Ge1 Ge 0.000 0.000 0.000
Ru1 Ru 0.000 0.000 0.500
Ru2 Ru 0.000 0.500 0.000
Ru3 Ru 0.500 0.000 0.000
W1 W 0.500 0.500 0.500
# space-group type: Pm-3m
# Fermi-level density of states: 1.367 states/eV/atom
# relative energy among the computed polymorphs: 0.0 kJ per mole of atoms
# spin magnetization: 0.331 μB per formula unit
# ΔE_f: 1.32 eV/atom
# crystal system: cubic
# raw total energy: -38.8 eV/cell

Record 2
# KCa2Fe PBE-GGA relaxed
data_KCa2Fe
_space_group_name_H-M_alt 'P 1'
_space_group_IT_number 1
_cell_length_a 9.484
_cell_length_b 9.484
_cell_length_c 9.484
_cell_angle_alpha 158.46
_cell_angle_beta 150.20
_cell_angle_gamma 37.07
loop_
_space_group_symop_operation_xyz
'x,y,z'
loop_
_atom_site_label
_atom_site_type_symbol
_atom_site_fract_x
_atom_site_fract_y
_atom_site_fract_z
K1 K 0.000 0.000 0.000
Ca1 Ca 0.329 0.829 0.500
Ca2 Ca 0.681 0.681 0.000
Fe1 Fe 0.816 0.316 0.500
# space-group type: Imm2
# Fermi-level density of states: 1.608 states/eV/atom
# relative energy among the computed polymorphs: 15.2 kJ per mole of atoms
# spin magnetization: 2.255 μB per formula unit
# ΔE_f: 0.56 eV/atom
# crystal system: orthorhombic
# raw total energy: -11.3 eV/cell